A plane-wave DFT calculation with PBE was carried out for V3FeS after structural relaxation.

The calculation puts the electronic total energy at -7.215 eV/atom. As for the energy relative to the lowest polymorph listed for this composition: 483.4 meV/atom. The calculation puts the total magnetization at 2.78 μB per formula unit. Its density of states at the Fermi level is 1.30 states/eV/atom. The calculation puts the calculated volume at 16.15 A^3/atom.

Unit cell a=4.322 b=4.322 c=4.322 alpha=90.00 beta=90.00 gamma=90.00
Space group Pm-3m (No. 221)
Unique sites:
1 V 0.000 0.000 0.500 x3
2 Fe 0.000 0.000 0.000 x1
3 S 0.500 0.500 0.500 x1